Record 1
Below is Rb2PPtI after structural relaxation, with properties calculated at the PBE-GGA level.

**E_form (uncorrected)**: -0.74 eV/atom
**Space-group type**: P4/mmm
**Energy above the most stable polymorph in this dataset**: 0 kJ/mol of formula units

Cell and atoms, written as POSCAR:
```
Rb2PPtI
1.0
6.7380 0.0000 0.0000
0.0000 6.7380 0.0000
0.0000 0.0000 4.3727
Rb P Pt I
2 1 1 1
Direct
0.0000 0.5000 0.0000 Rb
0.5000 0.0000 0.0000 Rb
0.0000 0.0000 0.5000 P
0.0000 0.0000 0.0000 Pt
0.5000 0.5000 0.5000 I
```

=====

Record 2
Below is Pr12Cu3Au5 after structural relaxation, with properties calculated at the PBE-GGA level.

**Space-group type**: Ia-3d
**Energy of formation from the pure elements**: -0.04 eV/atom

Cell and atoms, written as POSCAR:
```
Pr12Cu3Au5
1.0
-8.8031 8.8031 8.8031
8.8031 -8.8031 8.8031
8.8031 8.8031 -8.8031
Pr Cu Au
48 12 20
Direct
0.0571 0.2262 0.1322 Pr
0.0571 0.3309 0.9248 Pr
0.0752 0.6322 0.4061 Pr
0.0752 0.9429 0.6691 Pr
0.0939 0.7262 0.6691 Pr
0.0939 0.8678 0.4248 Pr
0.1322 0.0571 0.2262 Pr
0.1322 0.5752 0.9061 Pr
0.1691 0.2262 0.5939 Pr
0.1691 0.4429 0.5752 Pr
0.2262 0.1322 0.0571 Pr
0.2262 0.5939 0.1691 Pr
0.2738 0.3309 0.9061 Pr
0.2738 0.4429 0.3678 Pr
0.3309 0.9061 0.2738 Pr
0.3309 0.9248 0.0571 Pr
0.3678 0.2738 0.4429 Pr
0.3678 0.5939 0.9248 Pr
0.4061 0.0752 0.6322 Pr
0.4061 0.8309 0.7738 Pr
0.4248 0.0939 0.8678 Pr
0.4248 0.8309 0.5571 Pr
0.4429 0.3678 0.2738 Pr
0.4429 0.5752 0.1691 Pr
0.5571 0.4248 0.8309 Pr
0.5571 0.6322 0.7262 Pr
0.5752 0.1691 0.4429 Pr
0.5752 0.9061 0.1322 Pr
0.5939 0.1691 0.2262 Pr
0.5939 0.9248 0.3678 Pr
0.6322 0.4061 0.0752 Pr
0.6322 0.7262 0.5571 Pr
0.6691 0.0752 0.9429 Pr
0.6691 0.0939 0.7262 Pr
0.7262 0.5571 0.6322 Pr
0.7262 0.6691 0.0939 Pr
0.7738 0.4061 0.8309 Pr
0.7738 0.8678 0.9429 Pr
0.8309 0.5571 0.4248 Pr
0.8309 0.7738 0.4061 Pr
0.8678 0.4248 0.0939 Pr
0.8678 0.9429 0.7738 Pr
0.9061 0.1322 0.5752 Pr
0.9061 0.2738 0.3309 Pr
0.9248 0.0571 0.3309 Pr
0.9248 0.3678 0.5939 Pr
0.9429 0.6691 0.0752 Pr
0.9429 0.7738 0.8678 Pr
0.1250 0.2500 0.3750 Cu
0.1250 0.3750 0.7500 Cu
0.2500 0.3750 0.1250 Cu
0.2500 0.8750 0.6250 Cu
0.3750 0.1250 0.2500 Cu
0.3750 0.7500 0.1250 Cu
0.6250 0.2500 0.8750 Cu
0.6250 0.8750 0.7500 Cu
0.7500 0.1250 0.3750 Cu
0.7500 0.6250 0.8750 Cu
0.8750 0.6250 0.2500 Cu
0.8750 0.7500 0.6250 Cu
0.0000 0.0000 0.0000 Au
0.0000 0.0000 0.5000 Au
0.0000 0.5000 0.0000 Au
0.0000 0.5000 0.5000 Au
0.1250 0.7500 0.8750 Au
0.1250 0.8750 0.2500 Au
0.2500 0.1250 0.8750 Au
0.2500 0.6250 0.3750 Au
0.3750 0.2500 0.6250 Au
0.3750 0.6250 0.7500 Au
0.5000 0.0000 0.0000 Au
0.5000 0.0000 0.5000 Au
0.5000 0.5000 0.0000 Au
0.5000 0.5000 0.5000 Au
0.6250 0.3750 0.2500 Au
0.6250 0.7500 0.3750 Au
0.7500 0.3750 0.6250 Au
0.7500 0.8750 0.1250 Au
0.8750 0.1250 0.7500 Au
0.8750 0.2500 0.1250 Au
```

=====

Record 3
Below is Pm3Sm2Dy6Sc after structural relaxation, with properties calculated at the PBE-GGA level.

**Space-group type**: C2/m
**Energy of formation from the pure elements**: 0.03 eV/atom

Cell and atoms, written as POSCAR:
```
Pm3Sm2Dy6Sc
1.0
3.0846 -5.3410 0.0000
3.0846 5.3410 0.0000
-2.0503 0.0000 11.6187
Pm Sm Dy Sc
3 2 6 1
Direct
0.0000 0.0000 0.0000 Pm
0.3335 0.6665 0.0000 Pm
0.6665 0.3335 0.0000 Pm
0.1663 0.8337 0.5000 Sm
0.8337 0.1663 0.5000 Sm
0.0878 0.4183 0.2535 Dy
0.2514 0.2514 0.7469 Dy
0.4183 0.0878 0.2535 Dy
0.5817 0.9122 0.7465 Dy
0.7486 0.7486 0.2531 Dy
0.9122 0.5817 0.7465 Dy
0.5000 0.5000 0.5000 Sc
```

=====

Record 4
Below is Co2Si after structural relaxation, with properties calculated at the PBE-GGA level.

**E_form (uncorrected)**: -0.33 eV/atom
**Space-group type**: I4_1/amd

Cell and atoms, written as POSCAR:
```
Co2Si
1.0
-1.7248 1.7248 10.7334
1.7248 -1.7248 10.7334
1.7248 1.7248 -10.7334
Co Si
8 4
Direct
0.0406 0.7906 0.2500 Co
0.1242 0.3742 0.7500 Co
0.2094 0.9594 0.2500 Co
0.3742 0.1242 0.2500 Co
0.6258 0.8758 0.7500 Co
0.7906 0.0406 0.7500 Co
0.8758 0.6258 0.2500 Co
0.9594 0.2094 0.7500 Co
0.2973 0.5473 0.7500 Si
0.4527 0.7027 0.7500 Si
0.5473 0.2973 0.2500 Si
0.7027 0.4527 0.2500 Si
```

=====

Record 5
Below is NaSn2Bi3 after structural relaxation, with properties calculated at the PBE-GGA level.

**Space-group type**: P2_1/m
**Energy of formation from the pure elements**: -0.05 eV/atom

Cell and atoms, written as POSCAR:
```
NaSn2Bi3
1.0
6.6989 0.0000 0.0000
0.0000 5.5121 0.0000
-1.2710 0.0000 9.9549
Na Sn Bi
2 4 6
Direct
0.1407 0.2500 0.2796 Na
0.8593 0.7500 0.7204 Na
0.1480 0.2500 0.6158 Sn
0.3903 0.7500 0.1759 Sn
0.6097 0.2500 0.8241 Sn
0.8520 0.7500 0.3842 Sn
0.0692 0.2500 0.9226 Bi
0.3175 0.7500 0.5076 Bi
0.3901 0.7500 0.8489 Bi
0.6099 0.2500 0.1511 Bi
0.6825 0.2500 0.4924 Bi
0.9308 0.7500 0.0774 Bi
```

=====

Record 6
Below is AgBSbI2 after structural relaxation, with properties calculated at the PBE-GGA level.

**E_form (uncorrected)**: 1.32 eV/atom
**Space-group type**: P4/mmm
**Energy above the most stable polymorph in this dataset**: 221 kJ/mol of formula units

Cell and atoms, written as POSCAR:
```
AgBSbI2
1.0
5.7448 0.0000 0.0000
0.0000 5.7448 0.0000
0.0000 0.0000 5.3621
Ag B Sb I
1 1 1 2
Direct
0.0000 0.0000 0.0000 Ag
0.5000 0.5000 0.5000 B
0.0000 0.0000 0.5000 Sb
0.0000 0.5000 0.0000 I
0.5000 0.0000 0.0000 I
```

=====

Record 7
Below is TcBiRh after structural relaxation, with properties calculated at the PBE-GGA level.

**Space-group type**: R3m
**Energy of formation from the pure elements**: 0.52 eV/atom
**Energy above the most stable polymorph in this dataset**: 43 kJ/mol of formula units

Cell and atoms, written as POSCAR:
```
TcBiRh
1.0
1.5588 0.9000 6.6010
-1.5588 0.9000 6.6010
0.0000 -1.7999 6.6010
Tc Bi Rh
1 1 1
Direct
0.0000 0.0000 0.0000 Tc
0.7825 0.7825 0.7825 Bi
0.5688 0.5688 0.5688 Rh
```

=====

Record 8
Below is Cs2KRbRh after structural relaxation, with properties calculated at the PBE-GGA level.

**Space-group type**: P4/mmm
**Energy of formation from the pure elements**: 1.04 eV/atom

Cell and atoms, written as POSCAR:
```
Cs2KRbRh
1.0
7.8831 0.0000 0.0000
0.0000 7.8831 0.0000
0.0000 0.0000 7.4630
Cs K Rb Rh
2 1 1 1
Direct
0.0000 0.5000 0.0000 Cs
0.5000 0.0000 0.0000 Cs
0.0000 0.0000 0.0000 K
0.0000 0.0000 0.5000 Rb
0.5000 0.5000 0.5000 Rh
```

=====

Record 9
Below is TmScBe2 after structural relaxation, with properties calculated at the PBE-GGA level.

**Space-group type**: P4/mmm
**Energy of formation from the pure elements**: 0.02 eV/atom
**Energy above the most stable polymorph in this dataset**: 0 kJ/mol of formula units

Cell and atoms, written as POSCAR:
```
TmScBe2
1.0
3.2735 0.0000 0.0000
0.0000 3.2735 0.0000
0.0000 0.0000 6.5076
Tm Sc Be
1 1 2
Direct
0.0000 0.0000 0.0000 Tm
0.0000 0.0000 0.5000 Sc
0.5000 0.5000 0.2801 Be
0.5000 0.5000 0.7199 Be
```

=====

Record 10
Below is Na3Sn2Hg3 after structural relaxation, with properties calculated at the PBE-GGA level.

**Space-group type**: P-1
**Energy of formation from the pure elements**: -0.20 eV/atom
**Energy above the most stable polymorph in this dataset**: 0 kJ/mol of formula units

Cell and atoms, written as POSCAR:
```
Na3Sn2Hg3
1.0
4.2516 0.0000 0.0000
-0.0029 4.7607 0.0000
-2.1158 -2.3451 10.2283
Na Sn Hg
3 2 3
Direct
0.0000 0.0000 0.0000 Na
0.1250 0.6263 0.2508 Na
0.8750 0.3737 0.7492 Na
0.2462 0.2452 0.4905 Sn
0.7538 0.7548 0.5095 Sn
0.3787 0.8770 0.7560 Hg
0.5000 0.5000 0.0000 Hg
0.6213 0.1230 0.2440 Hg
```

=====

Record 11
Below is LiMoIr after structural relaxation, with properties calculated at the PBE-GGA level.

**Space-group type**: P3m1
**Energy of formation from the pure elements**: -0.02 eV/atom
**Energy above the most stable polymorph in this dataset**: 1 kJ/mol of formula units

Cell and atoms, written as POSCAR:
```
LiMoIr
1.0
4.2188 0.0000 0.0000
-2.1094 3.6536 0.0000
0.0000 0.0000 2.7159
Li Mo Ir
1 1 1
Direct
0.0000 0.0000 0.0000 Li
0.3333 0.6667 0.3502 Mo
0.6667 0.3333 0.7131 Ir
```

=====

Record 12
Below is NpIrPtO6 after structural relaxation, with properties calculated at the PBE-GGA level.

**E_form (uncorrected)**: -1.39 eV/atom
**Space-group type**: P-31c

Cell and atoms, written as POSCAR:
```
NpIrPtO6
1.0
5.2498 0.0000 0.0000
-2.6249 4.5464 0.0000
0.0000 0.0000 9.1575
Np Ir Pt O
2 2 2 12
Direct
0.3333 0.6667 0.2500 Np
0.6667 0.3333 0.7500 Np
0.0000 0.0000 0.0000 Ir
0.0000 0.0000 0.5000 Ir
0.3333 0.6667 0.7500 Pt
0.6667 0.3333 0.2500 Pt
0.9995 0.3235 0.6219 O
0.0005 0.3239 0.1219 O
0.9995 0.6761 0.8781 O
0.0005 0.6765 0.3781 O
0.3235 0.9995 0.1219 O
0.3235 0.3239 0.3781 O
0.3239 0.0005 0.6219 O
0.3239 0.3235 0.8781 O
0.6761 0.9995 0.3781 O
0.6761 0.6765 0.1219 O
0.6765 0.0005 0.8781 O
0.6765 0.6761 0.6219 O
```

=====

Copy entry 2 word for word.
Below is Pr12Cu3Au5 after structural relaxation, with properties calculated at the PBE-GGA level.

**Space-group type**: Ia-3d
**Energy of formation from the pure elements**: -0.04 eV/atom

Cell and atoms, written as POSCAR:
```
Pr12Cu3Au5
1.0
-8.8031 8.8031 8.8031
8.8031 -8.8031 8.8031
8.8031 8.8031 -8.8031
Pr Cu Au
48 12 20
Direct
0.0571 0.2262 0.1322 Pr
0.0571 0.3309 0.9248 Pr
0.0752 0.6322 0.4061 Pr
0.0752 0.9429 0.6691 Pr
0.0939 0.7262 0.6691 Pr
0.0939 0.8678 0.4248 Pr
0.1322 0.0571 0.2262 Pr
0.1322 0.5752 0.9061 Pr
0.1691 0.2262 0.5939 Pr
0.1691 0.4429 0.5752 Pr
0.2262 0.1322 0.0571 Pr
0.2262 0.5939 0.1691 Pr
0.2738 0.3309 0.9061 Pr
0.2738 0.4429 0.3678 Pr
0.3309 0.9061 0.2738 Pr
0.3309 0.9248 0.0571 Pr
0.3678 0.2738 0.4429 Pr
0.3678 0.5939 0.9248 Pr
0.4061 0.0752 0.6322 Pr
0.4061 0.8309 0.7738 Pr
0.4248 0.0939 0.8678 Pr
0.4248 0.8309 0.5571 Pr
0.4429 0.3678 0.2738 Pr
0.4429 0.5752 0.1691 Pr
0.5571 0.4248 0.8309 Pr
0.5571 0.6322 0.7262 Pr
0.5752 0.1691 0.4429 Pr
0.5752 0.9061 0.1322 Pr
0.5939 0.1691 0.2262 Pr
0.5939 0.9248 0.3678 Pr
0.6322 0.4061 0.0752 Pr
0.6322 0.7262 0.5571 Pr
0.6691 0.0752 0.9429 Pr
0.6691 0.0939 0.7262 Pr
0.7262 0.5571 0.6322 Pr
0.7262 0.6691 0.0939 Pr
0.7738 0.4061 0.8309 Pr
0.7738 0.8678 0.9429 Pr
0.8309 0.5571 0.4248 Pr
0.8309 0.7738 0.4061 Pr
0.8678 0.4248 0.0939 Pr
0.8678 0.9429 0.7738 Pr
0.9061 0.1322 0.5752 Pr
0.9061 0.2738 0.3309 Pr
0.9248 0.0571 0.3309 Pr
0.9248 0.3678 0.5939 Pr
0.9429 0.6691 0.0752 Pr
0.9429 0.7738 0.8678 Pr
0.1250 0.2500 0.3750 Cu
0.1250 0.3750 0.7500 Cu
0.2500 0.3750 0.1250 Cu
0.2500 0.8750 0.6250 Cu
0.3750 0.1250 0.2500 Cu
0.3750 0.7500 0.1250 Cu
0.6250 0.2500 0.8750 Cu
0.6250 0.8750 0.7500 Cu
0.7500 0.1250 0.3750 Cu
0.7500 0.6250 0.8750 Cu
0.8750 0.6250 0.2500 Cu
0.8750 0.7500 0.6250 Cu
0.0000 0.0000 0.0000 Au
0.0000 0.0000 0.5000 Au
0.0000 0.5000 0.0000 Au
0.0000 0.5000 0.5000 Au
0.1250 0.7500 0.8750 Au
0.1250 0.8750 0.2500 Au
0.2500 0.1250 0.8750 Au
0.2500 0.6250 0.3750 Au
0.3750 0.2500 0.6250 Au
0.3750 0.6250 0.7500 Au
0.5000 0.0000 0.0000 Au
0.5000 0.0000 0.5000 Au
0.5000 0.5000 0.0000 Au
0.5000 0.5000 0.5000 Au
0.6250 0.3750 0.2500 Au
0.6250 0.7500 0.3750 Au
0.7500 0.3750 0.6250 Au
0.7500 0.8750 0.1250 Au
0.8750 0.1250 0.7500 Au
0.8750 0.2500 0.1250 Au
```